P | The following is a PBE-GGA calculation of Pm2GePd2 after structural relaxation, from the Alexandria database.

As for the magnetic moment: 0.0 Bohr magnetons per cell.

The space group is C2/c (No. 15) and the conventional cell measures 9.8728, 5.7041 and 8.0321 Å, with angles of 90.00, 106.15 and 90.00 degrees. Symmetry generates all atoms from Pm at (0.1531, 0.1355, 0.1523), Ge at (0.0000, 0.3083, 0.7500) and Pd at (0.1277, 0.3759, 0.4919).

Q | The following is a PBE-GGA calculation of Pm2GePd2 after structural relaxation, from the Alexandria database.

As for the magnetic moment: 0.0 Bohr magnetons per cell.

The space group is C2/m (No. 12) and the conventional cell measures 10.6107, 4.2346 and 10.9941 Å, with angles of 90.00, 115.02 and 90.00 degrees. Symmetry generates all atoms from Pm at (0.0024, 0.0000, 0.3368), Pm at (0.1907, 0.0000, 0.1134), Ge at (0.2165, 0.5000, 0.3340), Pd at (0.0244, 0.5000, 0.8846) and Pd at (0.1558, 0.5000, 0.5495).

Quick look at relative energies in meV per atom: P 0; Q 13.

P | The following is a PBE-GGA calculation of PmPrGePd after structural relaxation, from the Alexandria database.

As for the magnetic moment: 0.0 Bohr magnetons per cell.

The space group is Amm2 (No. 38) and the conventional cell measures 4.3743, 4.1303 and 11.2112 Å, with angles of 90.00, 90.00 and 90.00 degrees. Symmetry generates all atoms from Pm at (0.0000, 0.0000, 0.0000), Pr at (0.5000, 0.0000, 0.2763), Ge at (0.0000, 0.0000, 0.7150) and Pd at (0.5000, 0.0000, 0.5585).

Q | The following is a PBE-GGA calculation of PmPrGePd after structural relaxation, from the Alexandria database.

As for the magnetic moment: 0.0 Bohr magnetons per cell.

The space group is F-43m (No. 216) and the conventional cell measures 7.3329, 7.3329 and 7.3329 Å, with angles of 90.00, 90.00 and 90.00 degrees. Symmetry generates all atoms from Pm at (0.0000, 0.0000, 0.0000), Pr at (0.0000, 0.0000, 0.5000), Ge at (0.2500, 0.2500, 0.7500) and Pd at (0.2500, 0.2500, 0.2500).

Quick look at relative energies in meV per atom: P 0; Q 95.